<P>
RbNdAsO | the Open Quantum Materials Database | PBE | relaxed; calculated density = 4.44 g/cm3; spin magnetization = 0.000 μB/atom
1.0
3.599 0.000 0.000
0.000 8.194 0.000
0.000 0.000 8.127
Rb Nd As O
2 2 2 2
direct
0.000 0.049 0.000 Rb
0.000 0.951 0.500 Rb
0.500 0.373 0.357 Nd
0.500 0.627 0.857 Nd
0.500 0.292 0.716 As
0.500 0.708 0.216 As
0.000 0.243 0.280 O
0.000 0.757 0.780 O



<Q>
RbNdAsO | the Open Quantum Materials Database | PBE | relaxed; calculated density = 4.68 g/cm3; spin magnetization = 0.000 μB/atom
1.0
5.140 0.000 0.000
0.000 7.171 0.000
0.000 0.000 6.168
Rb Nd As O
2 2 2 2
direct
0.000 0.133 0.000 Rb
0.000 0.867 0.500 Rb
0.500 0.220 0.502 Nd
0.500 0.780 0.002 Nd
0.000 0.432 0.474 As
0.000 0.568 0.974 As
0.500 0.006 0.760 O
0.500 0.994 0.260 O



<R>
RbNdAsO | the Open Quantum Materials Database | PBE | relaxed; calculated density = 5.36 g/cm3; spin magnetization = 0.002 μB/atom
1.0
6.099 0.000 0.000
0.000 6.099 0.000
0.000 0.000 5.338
Rb Nd As O
2 2 2 2
direct
0.250 0.250 0.002 Rb
0.750 0.750 0.998 Rb
0.250 0.750 0.500 Nd
0.750 0.250 0.500 Nd
0.250 0.250 0.503 As
0.750 0.750 0.497 As
0.250 0.750 0.000 O
0.750 0.250 0.000 O



<S>
RbNdAsO | the Open Quantum Materials Database | PBE | relaxed; calculated density = 5.31 g/cm3; spin magnetization = 0.002 μB/atom
1.0
4.249 0.000 0.000
0.000 4.249 0.000
0.000 0.000 11.102
Rb Nd As O
2 2 2 2
direct
0.250 0.750 0.000 Rb
0.750 0.250 0.000 Rb
0.250 0.250 0.404 Nd
0.750 0.750 0.596 Nd
0.250 0.250 0.767 As
0.750 0.750 0.233 As
0.250 0.750 0.500 O
0.750 0.250 0.500 O



Here are the energies relative to the best structure, in eV/atom: <P> 0.000; <Q> 0.023; <R> 0.540; <S> 0.102.



<P>
NdReAsO | the Open Quantum Materials Database | PBE | relaxed; calculated density = 10.24 g/cm3; spin magnetization = 0.002 μB/atom
1.0
3.995 0.000 0.000
0.000 4.465 0.000
0.000 0.000 7.661
Nd Re As O
2 2 2 2
direct
0.000 0.250 0.000 Nd
0.000 0.750 0.500 Nd
0.500 0.248 0.334 Re
0.500 0.752 0.834 Re
0.500 0.251 0.667 As
0.500 0.749 0.167 As
0.000 0.248 0.334 O
0.000 0.752 0.834 O



<Q>
NdReAsO | the Open Quantum Materials Database | PBE | relaxed; calculated density = 9.84 g/cm3; spin magnetization = 0.003 μB/atom
1.0
4.013 0.000 0.000
0.000 4.013 0.000
0.000 0.000 8.832
Nd Re As O
2 2 2 2
direct
0.250 0.250 0.136 Nd
0.750 0.750 0.864 Nd
0.250 0.750 0.500 Re
0.750 0.250 0.500 Re
0.250 0.250 0.673 As
0.750 0.750 0.327 As
0.250 0.750 0.000 O
0.750 0.250 0.000 O



Here are the energies relative to the best structure, in eV/atom: <P> 0.426; <Q> 0.000.



<P>
NdSbAsO | the Open Quantum Materials Database | PBE | relaxed; calculated density = 5.70 g/cm3; spin magnetization = 0.000 μB/atom
1.0
4.157 0.000 0.000
0.000 8.121 0.000
0.000 0.000 6.159
Nd Sb As O
2 2 2 2
direct
0.000 0.194 0.000 Nd
0.000 0.806 0.500 Nd
0.500 0.385 0.582 Sb
0.500 0.615 0.082 Sb
0.000 0.173 0.489 As
0.000 0.827 0.989 As
0.500 0.256 0.887 O
0.500 0.744 0.387 O



<Q>
NdSbAsO | the Open Quantum Materials Database | PBE | relaxed; calculated density = 6.80 g/cm3; spin magnetization = 0.000 μB/atom
1.0
4.726 0.000 0.000
0.000 4.726 0.000
0.000 0.000 7.800
Nd Sb As O
2 2 2 2
direct
0.250 0.750 0.000 Nd
0.750 0.250 0.000 Nd
0.250 0.250 0.433 Sb
0.750 0.750 0.567 Sb
0.250 0.250 0.784 As
0.750 0.750 0.216 As
0.250 0.750 0.500 O
0.750 0.250 0.500 O



Here are the energies relative to the best structure, in eV/atom: <P> 0.000; <Q> 0.574.



<P>
SrNdAsO | the Open Quantum Materials Database | PBE | relaxed; calculated density = 5.65 g/cm3; spin magnetization = 0.000 μB/atom
1.0
4.462 0.000 0.000
0.000 4.462 0.000
0.000 0.000 9.534
Sr Nd As O
2 2 2 2
direct
0.250 0.750 0.000 Sr
0.750 0.250 0.000 Sr
0.250 0.250 0.401 Nd
0.750 0.750 0.599 Nd
0.250 0.250 0.787 As
0.750 0.750 0.213 As
0.250 0.750 0.500 O
0.750 0.250 0.500 O



<Q>
SrNdAsO | the Open Quantum Materials Database | PBE | relaxed; calculated density = 5.03 g/cm3; spin magnetization = 0.000 μB/atom
1.0
4.348 0.000 0.000
0.000 7.020 0.000
0.000 0.000 6.980
Sr Nd As O
2 2 2 2
direct
0.000 0.135 0.000 Sr
0.000 0.865 0.500 Sr
0.500 0.468 0.681 Nd
0.500 0.532 0.181 Nd
0.000 0.305 0.424 As
0.000 0.695 0.924 As
0.500 0.280 0.953 O
0.500 0.720 0.453 O



<R>
SrNdAsO | the Open Quantum Materials Database | PBE | relaxed; calculated density = 4.25 g/cm3; spin magnetization = 0.033 μB/atom
1.0
5.121 0.000 0.000
0.000 5.121 0.000
0.000 0.000 9.623
Sr Nd As O
2 2 2 2
direct
0.250 0.250 0.027 Sr
0.750 0.750 0.973 Sr
0.250 0.750 0.500 Nd
0.750 0.250 0.500 Nd
0.250 0.250 0.363 As
0.750 0.750 0.637 As
0.250 0.750 0.000 O
0.750 0.250 0.000 O



<S>
SrNdAsO | the Open Quantum Materials Database | PBE | relaxed; calculated density = 5.12 g/cm3; spin magnetization = 0.000 μB/atom
1.0
4.281 0.000 0.000
0.000 6.769 0.000
0.000 0.000 7.218
Sr Nd As O
2 2 2 2
direct
0.000 0.048 0.000 Sr
0.000 0.952 0.500 Sr
0.500 0.363 0.341 Nd
0.500 0.637 0.841 Nd
0.500 0.224 0.729 As
0.500 0.776 0.229 As
0.000 0.250 0.281 O
0.000 0.750 0.781 O



Here are the energies relative to the best structure, in eV/atom: <P> 0.294; <Q> 0.000; <R> 0.538; <S> 0.082.



<P>
NdTlAsO | the Open Quantum Materials Database | PBE | relaxed; calculated density = 6.95 g/cm3; spin magnetization = 0.014 μB/atom
1.0
4.183 0.000 0.000
0.000 8.190 0.000
0.000 0.000 6.134
Nd Tl As O
2 2 2 2
direct
0.000 0.193 0.000 Nd
0.000 0.807 0.500 Nd
0.500 0.383 0.558 Tl
0.500 0.617 0.058 Tl
0.000 0.170 0.494 As
0.000 0.830 0.994 As
0.500 0.302 0.981 O
0.500 0.698 0.481 O



<Q>
NdTlAsO | the Open Quantum Materials Database | PBE | relaxed; calculated density = 7.80 g/cm3; spin magnetization = 0.001 μB/atom
1.0
6.049 0.000 0.000
0.000 6.049 0.000
0.000 0.000 5.114
Nd Tl As O
2 2 2 2
direct
0.250 0.750 0.000 Nd
0.750 0.250 0.000 Nd
0.250 0.250 0.493 Tl
0.750 0.750 0.507 Tl
0.250 0.250 0.993 As
0.750 0.750 0.007 As
0.250 0.750 0.500 O
0.750 0.250 0.500 O



<R>
NdTlAsO | the Open Quantum Materials Database | PBE | relaxed; calculated density = 8.06 g/cm3; spin magnetization = 0.038 μB/atom
1.0
4.305 0.000 0.000
0.000 4.305 0.000
0.000 0.000 9.767
Nd Tl As O
2 2 2 2
direct
0.250 0.250 0.109 Nd
0.750 0.750 0.891 Nd
0.250 0.750 0.500 Tl
0.750 0.250 0.500 Tl
0.250 0.250 0.719 As
0.750 0.750 0.281 As
0.250 0.750 0.000 O
0.750 0.250 0.000 O



<S>
NdTlAsO | the Open Quantum Materials Database | PBE | relaxed; calculated density = 7.12 g/cm3; spin magnetization = 0.000 μB/atom
1.0
5.790 0.000 0.000
0.000 5.854 0.000
0.000 0.000 6.048
Nd Tl As O
2 2 2 2
direct
0.000 0.199 0.000 Nd
0.000 0.801 0.500 Nd
0.500 0.227 0.392 Tl
0.500 0.773 0.892 Tl
0.500 0.276 0.881 As
0.500 0.724 0.381 As
0.000 0.146 0.360 O
0.000 0.854 0.860 O



Here are the energies relative to the best structure, in eV/atom: <P> 0.229; <Q> 0.316; <R> 0.000; <S> 0.134.



<P>
NdTmAsO | the Open Quantum Materials Database | PBE | relaxed; calculated density = 8.05 g/cm3; spin magnetization = 0.023 μB/atom
1.0
4.276 0.000 0.000
0.000 4.276 0.000
0.000 0.000 9.115
Nd Tm As O
2 2 2 2
direct
0.250 0.750 0.000 Nd
0.750 0.250 0.000 Nd
0.250 0.250 0.408 Tm
0.750 0.750 0.592 Tm
0.250 0.250 0.777 As
0.750 0.750 0.223 As
0.250 0.750 0.500 O
0.750 0.250 0.500 O



<Q>
NdTmAsO | the Open Quantum Materials Database | PBE | relaxed; calculated density = 7.22 g/cm3; spin magnetization = 0.111 μB/atom
1.0
4.110 0.000 0.000
0.000 8.063 0.000
0.000 0.000 5.609
Nd Tm As O
2 2 2 2
direct
0.000 0.123 0.000 Nd
0.000 0.877 0.500 Nd
0.500 0.290 0.468 Tm
0.500 0.710 0.968 Tm
0.500 0.362 0.964 As
0.500 0.638 0.464 As
0.000 0.178 0.439 O
0.000 0.822 0.939 O



Here are the energies relative to the best structure, in eV/atom: <P> 0.130; <Q> 0.000.



<P>
NdZrAsO | the Open Quantum Materials Database | PBE | relaxed; calculated density = 6.67 g/cm3; spin magnetization = 0.002 μB/atom
1.0
4.244 0.000 0.000
0.000 4.244 0.000
0.000 0.000 9.021
Nd Zr As O
2 2 2 2
direct
0.250 0.250 0.120 Nd
0.750 0.750 0.880 Nd
0.250 0.750 0.500 Zr
0.750 0.250 0.500 Zr
0.250 0.250 0.690 As
0.750 0.750 0.310 As
0.250 0.750 0.000 O
0.750 0.250 0.000 O



<Q>
NdZrAsO | the Open Quantum Materials Database | PBE | relaxed; calculated density = 5.83 g/cm3; spin magnetization = 0.001 μB/atom
1.0
4.129 0.000 0.000
0.000 7.479 0.000
0.000 0.000 6.022
Nd Zr As O
2 2 2 2
direct
0.000 0.218 0.000 Nd
0.000 0.782 0.500 Nd
0.500 0.393 0.559 Zr
0.500 0.607 0.059 Zr
0.000 0.174 0.495 As
0.000 0.826 0.995 As
0.500 0.350 0.905 O
0.500 0.650 0.405 O



Here are the energies relative to the best structure, in eV/atom: <P> 0.000; <Q> 0.214.



<P>
NdZrAsO | the Open Quantum Materials Database | PBE | relaxed; calculated density = 7.19 g/cm3; spin magnetization = 0.005 μB/atom
1.0
4.167 0.000 0.000
0.000 4.167 0.000
0.000 0.000 8.688
Nd Zr As O
2 2 2 2
direct
0.250 0.750 0.000 Nd
0.750 0.250 0.000 Nd
0.250 0.250 0.401 Zr
0.750 0.750 0.599 Zr
0.250 0.250 0.750 As
0.750 0.750 0.250 As
0.250 0.750 0.500 O
0.750 0.250 0.500 O



<Q>
NdZrAsO | the Open Quantum Materials Database | PBE | relaxed; calculated density = 5.79 g/cm3; spin magnetization = 0.005 μB/atom
1.0
3.944 0.000 0.000
0.000 7.160 0.000
0.000 0.000 6.633
Nd Zr As O
2 2 2 2
direct
0.000 0.119 0.000 Nd
0.000 0.881 0.500 Nd
0.500 0.287 0.418 Zr
0.500 0.713 0.918 Zr
0.500 0.361 0.804 As
0.500 0.639 0.304 As
0.000 0.198 0.350 O
0.000 0.802 0.850 O



Here are the energies relative to the best structure, in eV/atom: <P> 0.185; <Q> 0.000.



<P>
NdSmAs2Pt2 | the Open Quantum Materials Database | PBE | relaxed; calculated density = 10.73 g/cm3; spin magnetization = 0.000 μB/atom
1.0
4.343 0.000 0.000
-2.172 3.761 0.000
0.000 0.000 15.816
Nd Sm As Pt
2 2 4 4
direct
0.000 0.000 0.000 Nd
0.000 0.000 0.500 Nd
0.000 0.000 0.250 Sm
0.000 0.000 0.750 Sm
0.333 0.667 0.120 As
0.333 0.667 0.380 As
0.667 0.333 0.620 As
0.667 0.333 0.880 As
0.333 0.667 0.635 Pt
0.333 0.667 0.865 Pt
0.667 0.333 0.135 Pt
0.667 0.333 0.365 Pt



<Q>
NdSmAs2Pt2 | the Open Quantum Materials Database | PBE | relaxed; calculated density = 10.73 g/cm3; spin magnetization = 0.000 μB/atom
1.0
4.335 0.000 0.000
-2.167 3.754 0.000
0.000 0.000 7.937
Nd Sm As Pt
1 1 2 2
direct
0.000 0.000 0.000 Nd
0.000 0.000 0.500 Sm
0.333 0.667 0.756 As
0.667 0.333 0.263 As
0.333 0.667 0.245 Pt
0.667 0.333 0.736 Pt



Here are the energies relative to the best structure, in eV/atom: <P> 0.000; <Q> 0.014.